No. 1
Density functional theory data (meta-GGA SCAN) for a crystal of NbGaCo2Si relaxed with PBEsol.

a = 4.388 Å, b = 4.388 Å, c = 4.938 Å
α = 90.00°, β = 90.00°, γ = 90.00°
Fractional positions:
Ga 0.000 0.000 0.500
Co 0.000 0.500 0.000
Nb 0.000 0.000 0.000
Co 0.500 0.000 0.000
Si 0.500 0.500 0.500

Calculated values
* total moment: 0.43 μB/atom
* SG: P4/mmm, No. 123
* raw formation energy: 1574 meV per atom


No. 2
Density functional theory data (meta-GGA SCAN) for a crystal of LiNbSbI2 relaxed with PBEsol.

a = 5.338 Å, b = 5.633 Å, c = 5.633 Å
α = 90.00°, β = 90.00°, γ = 90.00°
Fractional positions:
Nb 0.000 0.000 0.000
I 0.000 0.500 0.000
I 0.000 0.000 0.500
Li 0.500 0.500 0.500
Sb 0.500 0.000 0.000

Calculated values
* total moment: 0.00 μB/atom
* SG: P4/mmm, No. 123
* raw formation energy: 55 meV per atom


No. 3
Density functional theory data (meta-GGA SCAN) for a crystal of PbCN2 relaxed with PBEsol.

a = 3.812 Å, b = 5.529 Å, c = 11.825 Å
α = 90.00°, β = 90.00°, γ = 90.00°
Fractional positions:
N 0.028 0.675 0.439
C 0.028 0.883 0.398
N 0.528 0.918 0.647
C 0.528 0.117 0.602
Pb 0.527 0.890 0.136
N 0.528 0.418 0.853
C 0.528 0.617 0.898
Pb 0.027 0.610 0.636
N 0.028 0.582 0.147
C 0.028 0.383 0.102
Pb 0.527 0.390 0.364
Pb 0.027 0.110 0.864
N 0.528 0.825 0.939
N 0.528 0.325 0.561
N 0.028 0.175 0.061
N 0.028 0.082 0.353

Calculated values
* total moment: 0.00 μB/atom
* distance to the lowest polymorph of the same formula: 0.000 eV/f.u.
* SG: Pnma, No. 62
* raw formation energy: 92 meV per atom


No. 4
Density functional theory data (meta-GGA SCAN) for a crystal of Mg16Al12Ga relaxed with PBEsol.

a = 9.055 Å, b = 9.055 Å, c = 9.055 Å
α = 109.47°, β = 109.47°, γ = 109.47°
Fractional positions:
Al 0.632 0.000 0.814
Mg 0.599 0.000 0.314
Al 0.814 0.632 0.000
Al 0.000 0.632 0.814
Al 0.632 0.814 0.000
Al 0.186 0.817 0.186
Mg 0.000 0.335 0.000
Mg 0.599 0.314 0.000
Mg 0.665 0.665 0.665
Mg 0.335 0.000 0.000
Mg 0.401 0.401 0.715
Al 0.368 0.183 0.368
Ga 0.000 0.000 0.000
Mg 0.000 0.314 0.599
Mg 0.314 0.599 0.000
Al 0.817 0.186 0.186
Mg 0.686 0.686 0.285
Al 0.183 0.368 0.368
Mg 0.285 0.686 0.686
Al 0.368 0.368 0.183
Mg 0.715 0.401 0.401
Al 0.000 0.814 0.632
Al 0.186 0.186 0.817
Mg 0.000 0.599 0.314
Al 0.814 0.000 0.632
Mg 0.000 0.000 0.335
Mg 0.314 0.000 0.599
Mg 0.401 0.715 0.401
Mg 0.686 0.285 0.686

Calculated values
* total moment: 0.00 μB/atom
* distance to the lowest polymorph of the same formula: 0.556 eV/f.u.
* SG: I-43m, No. 217
* calculated formation energy: -10 meV/atom


No. 5
Density functional theory data (meta-GGA SCAN) for a crystal of NaYB3 relaxed with PBEsol.

a = 4.202 Å, b = 4.202 Å, c = 4.202 Å
α = 90.00°, β = 90.00°, γ = 90.00°
Fractional positions:
B 0.000 0.500 0.000
Na 0.000 0.000 0.000
B 0.500 0.000 0.000
Y 0.500 0.500 0.500
B 0.000 0.000 0.500

Calculated values
* total moment: 0.00 μB/atom
* distance to the lowest polymorph of the same formula: 0.000 eV/f.u.
* SG: Pm-3m, No. 221
* calculated formation energy: 1783 meV/atom


No. 6
Density functional theory data (meta-GGA SCAN) for a crystal of In2HgCl relaxed with PBEsol.

a = 3.427 Å, b = 5.313 Å, c = 5.313 Å
α = 90.00°, β = 90.00°, γ = 90.00°
Fractional positions:
Cl 0.500 0.500 0.500
In 0.000 0.500 0.000
In 0.000 0.000 0.500
Hg 0.500 0.000 0.000

Calculated values
* total moment: 0.00 μB/atom
* distance to the lowest polymorph of the same formula: 0.333 eV/f.u.
* SG: P4/mmm, No. 123
* raw formation energy: -339 meV per atom


No. 7
Density functional theory data (meta-GGA SCAN) for a crystal of Zr2TaAs relaxed with PBEsol.

a = 3.621 Å, b = 4.530 Å, c = 4.530 Å
α = 90.00°, β = 90.00°, γ = 90.00°
Fractional positions:
Ta 0.500 0.000 0.000
Zr 0.000 0.000 0.500
As 0.500 0.500 0.500
Zr 0.000 0.500 0.000

Calculated values
* total moment: 0.00 μB/atom
* SG: P4/mmm, No. 123
* calculated formation energy: -435 meV/atom


No. 8
Density functional theory data (meta-GGA SCAN) for a crystal of TlInMo2 relaxed with PBEsol.

a = 4.677 Å, b = 4.677 Å, c = 4.677 Å
α = 60.00°, β = 60.00°, γ = 60.00°
Fractional positions:
Tl 0.750 0.750 0.750
In 0.500 0.500 0.500
Mo 0.250 0.250 0.250
Mo 0.000 0.000 0.000

Calculated values
* total moment: 0.00 μB/atom
* distance to the lowest polymorph of the same formula: 1.685 eV/f.u.
* SG: F-43m, No. 216
* calculated formation energy: 789 meV/atom


No. 9
Density functional theory data (meta-GGA SCAN) for a crystal of YNiGe3 relaxed with PBEsol.

a = 4.040 Å, b = 4.035 Å, c = 10.904 Å
α = 90.00°, β = 100.68°, γ = 90.00°
Fractional positions:
Ge 0.716 0.000 0.433
Ge 0.057 0.000 0.115
Ni 0.389 0.000 0.779
Ge 0.284 0.000 0.567
Y 0.831 0.500 0.662
Ge 0.943 0.000 0.885
Y 0.169 0.500 0.338
Ge 0.443 0.500 0.885
Ni 0.611 0.000 0.221
Ge 0.557 0.500 0.115

Calculated values
* total moment: 0.00 μB/atom
* SG: Cmmm, No. 65
* calculated formation energy: -680 meV/atom


No. 10
Density functional theory data (meta-GGA SCAN) for a crystal of Tl2TeSe relaxed with PBEsol.

a = 4.282 Å, b = 4.282 Å, c = 6.273 Å
α = 90.00°, β = 90.00°, γ = 90.00°
Fractional positions:
Tl 0.500 0.500 0.386
Te 0.500 0.500 0.890
Se 0.000 0.000 0.380
Tl 0.000 0.000 0.844

Calculated values
* total moment: 0.00 μB/atom
* distance to the lowest polymorph of the same formula: 0.000 eV/f.u.
* SG: P4mm, No. 99
* raw formation energy: -197 meV per atom


No. 11
Density functional theory data (meta-GGA SCAN) for a crystal of Na2ErPWO8 relaxed with PBEsol.

a = 6.813 Å, b = 11.346 Å, c = 11.346 Å
α = 63.75°, β = 72.53°, γ = 72.53°
Fractional positions:
O 0.673 0.059 0.078
O 0.230 0.602 0.859
O 0.770 0.398 0.141
O 0.567 0.655 0.358
P 0.750 0.568 0.432
O 0.666 0.892 0.347
O 0.579 0.142 0.845
O 0.921 0.155 0.858
Er 0.750 0.321 0.679
Er 0.250 0.179 0.821
O 0.421 0.858 0.155
O 0.334 0.108 0.653
O 0.933 0.642 0.345
W 0.676 0.574 0.074
Na 0.351 0.710 0.599
P 0.750 0.068 0.932
O 0.079 0.845 0.142
O 0.166 0.347 0.892
O 0.690 0.559 0.578
Na 0.840 0.210 0.099
O 0.595 0.392 0.847
O 0.310 0.441 0.422
O 0.433 0.345 0.642
Na 0.340 0.099 0.210
P 0.250 0.932 0.068
O 0.810 0.422 0.441
O 0.827 0.922 0.941
O 0.327 0.941 0.922
O 0.190 0.578 0.559
Na 0.149 0.401 0.290
O 0.405 0.608 0.153
P 0.250 0.432 0.568
O 0.730 0.859 0.602
O 0.905 0.153 0.608
Er 0.750 0.821 0.179
Er 0.250 0.679 0.321
O 0.067 0.358 0.655
O 0.691 0.641 0.898
Na 0.649 0.290 0.401
O 0.270 0.141 0.398
O 0.834 0.653 0.108
Na 0.851 0.599 0.710
O 0.095 0.847 0.392
O 0.809 0.102 0.359
W 0.324 0.426 0.926
Na 0.160 0.790 0.901
W 0.824 0.926 0.426
Na 0.660 0.901 0.790
O 0.309 0.359 0.102
O 0.173 0.078 0.059
O 0.191 0.898 0.641
W 0.176 0.074 0.574

Calculated values
* total moment: 0.00 μB/atom
* SG: Ibca, No. 73
* raw formation energy: -2780 meV per atom


No. 12
Density functional theory data (meta-GGA SCAN) for a crystal of KIn2Pd2 relaxed with PBEsol.

a = 2.929 Å, b = 8.290 Å, c = 8.290 Å
α = 90.00°, β = 90.00°, γ = 90.00°
Fractional positions:
In 0.000 0.128 0.372
Pd 0.500 0.668 0.832
In 0.000 0.872 0.628
K 0.000 0.000 0.000
Pd 0.500 0.332 0.168
Pd 0.500 0.832 0.332
K 0.000 0.500 0.500
In 0.000 0.628 0.128
In 0.000 0.372 0.872
Pd 0.500 0.168 0.668

Calculated values
* total moment: 0.00 μB/atom
* distance to the lowest polymorph of the same formula: 0.000 eV/f.u.
* SG: P4/mbm, No. 127
* calculated formation energy: -383 meV/atom